[1]
# meta-GGA SCAN ZrRu2Pt, PBEsol geometry
# SG ... No. 216
# Energy of formation ... -0.80 eV/f.u.
data_ZrRu2Pt
_chemical_formula_sum 'Zr1 Ru2 Pt1'
_cell_length_a 4.460
_cell_length_b 4.460
_cell_length_c 4.460
_cell_angle_alpha 60.00
_cell_angle_beta 60.00
_cell_angle_gamma 60.00
_space_group_name_H-M_alt 'P 1'
_space_group_IT_number 1
loop_
_space_group_symop_operation_xyz
'x,y,z'
loop_
_atom_site_label
_atom_site_fract_x
_atom_site_fract_y
_atom_site_fract_z
Zr1 0.250 0.250 0.250
Pt1 0.500 0.500 0.500
Ru1 0.750 0.750 0.750
Ru2 0.000 0.000 0.000

=====

[2]
# meta-GGA SCAN Pr12Co6Pb, PBEsol geometry
# SG ... No. 204
# Energy of formation ... -1.65 eV/f.u.
data_Pr12Co6Pb
_chemical_formula_sum 'Pr12 Co6 Pb1'
_cell_length_a 8.595
_cell_length_b 8.595
_cell_length_c 8.595
_cell_angle_alpha 109.47
_cell_angle_beta 109.47
_cell_angle_gamma 109.47
_space_group_name_H-M_alt 'P 1'
_space_group_IT_number 1
loop_
_space_group_symop_operation_xyz
'x,y,z'
loop_
_atom_site_label
_atom_site_fract_x
_atom_site_fract_y
_atom_site_fract_z
Pr1 0.501 0.807 0.694
Pr2 0.114 0.807 0.306
Pr3 0.193 0.694 0.886
Pr4 0.694 0.886 0.193
Pr5 0.807 0.694 0.501
Pr6 0.193 0.306 0.499
Pr7 0.694 0.501 0.807
Pr8 0.306 0.499 0.193
Pr9 0.807 0.306 0.114
Pr10 0.886 0.193 0.694
Pr11 0.306 0.114 0.807
Pr12 0.499 0.193 0.306
Co1 0.500 0.111 0.611
Co2 0.111 0.611 0.500
Co3 0.611 0.500 0.111
Co4 0.389 0.500 0.889
Co5 0.889 0.389 0.500
Co6 0.500 0.889 0.389
Pb1 0.000 0.000 0.000

=====

[3]
# meta-GGA SCAN LaHg3Pd, PBEsol geometry
# SG ... No. 221
# Energy of formation ... 4.05 eV/f.u.
data_LaHg3Pd
_chemical_formula_sum 'La1 Hg3 Pd1'
_cell_length_a 5.755
_cell_length_b 5.755
_cell_length_c 5.755
_cell_angle_alpha 90.00
_cell_angle_beta 90.00
_cell_angle_gamma 90.00
_space_group_name_H-M_alt 'P 1'
_space_group_IT_number 1
loop_
_space_group_symop_operation_xyz
'x,y,z'
loop_
_atom_site_label
_atom_site_fract_x
_atom_site_fract_y
_atom_site_fract_z
Hg1 0.000 0.000 0.500
Hg2 0.000 0.500 0.000
Hg3 0.500 0.000 0.000
Pd1 0.500 0.500 0.500
La1 0.000 0.000 0.000

=====

[4]
# meta-GGA SCAN Cs2IBr, PBEsol geometry
# Excess energy over the best structure of this formula in the dataset ... 130.4 meV/atom
# SG ... No. 122
# Energy relative to the elements, uncorrected ... -1708 meV/atom
data_Cs2IBr
_chemical_formula_sum 'Cs4 I2 Br2'
_cell_length_a 8.352
_cell_length_b 8.352
_cell_length_c 10.036
_cell_angle_alpha 114.59
_cell_angle_beta 114.59
_cell_angle_gamma 90.00
_space_group_name_H-M_alt 'P 1'
_space_group_IT_number 1
loop_
_space_group_symop_operation_xyz
'x,y,z'
loop_
_atom_site_label
_atom_site_fract_x
_atom_site_fract_y
_atom_site_fract_z
Br1 0.500 0.500 0.000
Br2 0.750 0.250 0.500
Cs1 0.125 0.148 0.750
Cs2 0.398 0.875 0.250
Cs3 0.852 0.375 0.250
Cs4 0.625 0.602 0.750
I1 0.000 0.000 0.000
I2 0.250 0.750 0.500

=====

Number 1: theoretical density 12.9 Mg/m³. Number 2: theoretical density 7.6 Mg/m³. Number 3: theoretical density 7.4 Mg/m³. Number 4: theoretical density 2.8 Mg/m³.